Entry 1:
Below is a relaxed structure of SrAlIrO6, with properties calculated at the GGA-PBE level.

Cell: 5.096 5.096 5.455 Å, 90.00 90.00 60.00°
Atoms (fractional coordinates):
Sr: 0.000 0.000 0.000
Al: 0.667 0.667 0.500
Ir: 0.333 0.333 0.500
O: 0.998 0.376 0.307
O: 0.376 0.998 0.693
O: 0.626 0.376 0.693
O: 0.998 0.626 0.693
O: 0.376 0.626 0.307
O: 0.626 0.998 0.307

Calculated values
N(E_F)   0.55 states/eV per atom
Space-group type   No. 149
Total energy   -6.6760 eV/atom

---

Entry 2:
Below is a relaxed structure of SrAlIr2O8, with properties calculated at the GGA-PBE level.

Cell: 5.298 5.298 7.081 Å, 90.00 90.00 120.00°
Atoms (fractional coordinates):
Sr: 0.000 0.000 0.000
Al: 0.000 0.000 0.500
Ir: 0.667 0.333 0.298
Ir: 0.333 0.667 0.702
O: 0.333 0.667 0.964
O: 0.290 0.265 0.330
O: 0.735 0.025 0.330
O: 0.667 0.333 0.036
O: 0.265 0.975 0.670
O: 0.710 0.735 0.670
O: 0.025 0.290 0.670
O: 0.975 0.710 0.330

Calculated values
N(E_F)   0.86 states/eV per atom
Space-group type   No. 147
Total energy   -6.4291 eV/atom

---

Entry 3:
Below is a relaxed structure of SrAl2IrO8, with properties calculated at the GGA-PBE level.

Cell: 4.763 4.347 6.486 Å, 89.96 89.98 88.24°
Atoms (fractional coordinates):
Sr: 0.000 0.000 0.500
Al: 0.500 0.500 0.766
Al: 0.500 0.500 0.234
Ir: 0.000 0.000 0.000
O: 0.170 0.735 0.202
O: 0.666 0.736 0.000
O: 0.830 0.265 0.202
O: 0.830 0.265 0.798
O: 0.334 0.264 0.000
O: 0.170 0.735 0.798
O: 0.546 0.727 0.500
O: 0.454 0.273 0.500

Calculated values
N(E_F)   0.54 states/eV per atom
Space-group type   No. 10
Total energy   -6.5215 eV/atom

---

Entry 4:
Below is a relaxed structure of AlTlIrO6, with properties calculated at the GGA-PBE level.

Cell: 5.114 5.114 9.553 Å, 90.00 90.00 120.00°
Atoms (fractional coordinates):
Al: 0.667 0.333 0.250
Al: 0.333 0.667 0.750
Tl: 0.000 0.000 0.000
Tl: 0.000 0.000 0.500
Ir: 0.333 0.667 0.250
Ir: 0.667 0.333 0.750
O: 0.632 0.627 0.141
O: 0.995 0.368 0.141
O: 0.368 0.995 0.641
O: 0.005 0.632 0.859
O: 0.373 0.368 0.359
O: 0.995 0.627 0.359
O: 0.627 0.995 0.859
O: 0.632 0.005 0.359
O: 0.005 0.373 0.641
O: 0.373 0.005 0.141
O: 0.627 0.632 0.641
O: 0.368 0.373 0.859

Calculated values
N(E_F)   0.54 states/eV per atom
Space-group type   No. 163
Total energy   -6.2208 eV/atom